*w*
Ca2Si2Se (PBE, optimized geometry); density of states at the Fermi level = 0.646 states/eV per atom; mass density = 2.78 g/cm³
1.0
5.791 0.000 0.000
0.000 5.791 0.000
2.896 2.896 3.831
Ca Si Se
2 2 1
Cartesian
5.791 2.896 1.916
2.896 5.791 1.916
2.896 2.896 1.143
5.791 5.791 2.689
0.000 0.000 0.000

=====

*x*
Ca2Si2Se (PBE, optimized geometry); density of states at the Fermi level = 0.764 states/eV per atom; mass density = 3.04 g/cm³
1.0
7.564 0.000 0.000
0.000 7.564 0.000
0.000 0.000 4.117
Ca Si Se
4 4 2
Cartesian
1.397 5.180 2.058
5.180 6.167 2.058
6.167 2.385 2.058
2.385 1.397 2.058
2.977 6.759 0.000
6.759 4.587 0.000
4.587 0.805 0.000
0.805 2.977 0.000
0.000 0.000 0.000
3.782 3.782 0.000

=====

*y*
Ca2Si2Se (PBE, optimized geometry); density of states at the Fermi level = 0.270 states/eV per atom; mass density = 2.63 g/cm³
1.0
-0.803 -0.987 -7.828
7.824 -1.116 -0.662
-0.556 -4.250 0.593
Ca Si Se
4 4 2
Cartesian
6.052 -1.199 -2.919
4.793 -1.570 -6.760
0.969 -0.904 -5.572
2.228 -0.533 -1.730
4.311 -2.886 -0.854
6.312 -3.722 -4.971
2.153 -3.467 -7.043
0.153 -2.631 -2.926
0.000 0.000 0.000
3.510 -1.052 -4.245

=====

Relative stability in meV/atom, measured from the most stable structure: *w* 266; *x* 58; *y* 0

=====

*w*
CaSiTeSe (PBE, optimized geometry); mass density = 4.10 g/cm³
1.0
-1.685 -0.404 -3.878
1.404 -3.913 -0.202
-5.302 -2.042 2.696
Ca Si Te Se
1 1 1 1
Cartesian
-4.823 -3.871 -1.415
-1.740 -0.570 -1.057
-2.081 -2.822 -2.669
-4.886 -1.790 0.706

=====

*x*
CaSiTeSe (PBE, optimized geometry); mass density = 4.46 g/cm³
1.0
-2.996 -1.594 -2.503
2.918 -1.984 -2.230
0.900 -3.891 4.639
Ca Si Te Se
1 1 1 1
Cartesian
-1.539 -2.117 -0.130
-0.595 -5.438 0.153
-0.304 -3.376 2.605
1.467 -1.761 -0.420

=====

*y*
CaSiTeSe (PBE, optimized geometry); mass density = 4.07 g/cm³
1.0
-6.572 -1.778 -0.519
0.556 -0.853 -4.112
2.084 -7.247 1.785
Ca Si Te Se
2 2 2 2
Cartesian
-5.095 -3.035 -0.059
-3.775 -7.085 -1.222
-1.706 -1.449 0.070
-0.386 -5.500 -1.093
-2.411 -4.724 0.654
-3.175 -1.527 -2.294
1.462 -6.508 1.548
0.698 -3.310 -1.401

=====

Relative stability in meV/atom, measured from the most stable structure: *w* 6; *x* 0; *y* 133

=====

*w*
CaSmSe2 (PBE, optimized geometry); density of states at the Fermi level = 0.379 states/eV per atom; mass density = 5.58 g/cm³
1.0
-0.190 -4.040 0.941
2.194 -1.493 3.194
-4.679 -0.594 5.625
Ca Sm Se
1 1 2
Cartesian
-1.338 -3.064 4.880
0.000 0.000 0.000
-1.992 -4.599 7.308
-0.684 -1.528 2.451

=====

*x*
CaSmSe2 (PBE, optimized geometry); density of states at the Fermi level = 0.293 states/eV per atom; mass density = 5.52 g/cm³
1.0
-3.644 -1.593 -1.067
3.118 -0.008 -2.690
4.155 -12.755 4.852
Ca Sm Se
2 2 4
Cartesian
-0.351 -4.253 -0.395
3.980 -10.102 1.490
2.078 -6.378 2.426
0.000 0.000 0.000
2.429 -5.342 -0.321
2.253 -12.248 2.646
1.200 -9.014 1.416
1.376 -2.108 -1.551

=====

Relative stability in meV/atom, measured from the most stable structure: *w* 0; *x* 49

=====

*w*
CaSm2Se4 (PBE, optimized geometry); mass density = 5.44 g/cm³
1.0
4.133 0.000 0.000
-2.066 6.845 0.000
0.000 0.000 14.177
Ca Sm Se
2 4 8
Cartesian
2.066 1.562 10.633
0.000 5.283 3.544
0.000 1.836 6.067
2.066 5.009 13.155
0.000 1.836 1.022
2.066 5.009 8.111
2.066 3.758 1.702
2.066 3.758 5.387
0.000 3.087 12.475
0.000 3.087 8.791
2.066 6.361 10.633
0.000 0.484 3.544
2.066 0.000 0.000
2.066 0.000 7.089

=====

*x*
CaSm2Se4 (PBE, optimized geometry); density of states at the Fermi level = 0.000 states/eV per atom; mass density = 6.23 g/cm³
1.0
7.254 0.000 -2.557
-3.645 6.268 -2.567
0.036 0.000 7.692
Ca Se Sm
2 8 4
Cartesian
3.627 3.134 -1.279
0.000 0.000 0.000
4.682 1.578 4.101
4.949 3.790 1.582
1.793 4.690 0.460
-0.488 2.477 1.559
3.139 0.657 0.281
1.775 4.712 -3.386
1.055 1.556 5.379
-2.323 5.611 0.293
-0.450 5.498 2.574
2.290 2.364 2.555
5.918 0.770 1.277
-0.468 3.904 -1.271

=====

Relative stability in meV/atom, measured from the most stable structure: *w* 25; *x* 0